No. 1
Here is a relaxed structure of Hf6OsRh5 from Alexandria. Energies are from PBE.

Lattice parameters (Å, degrees): 4.6292 6.5201 7.2676 90.00 107.50 90.00
Closest atoms and distances in Å follow each position.
Atoms (fractional coordinates):
Os  0.0000  0.0000  0.0000  8 Hf 2.81-2.82
Hf  0.8348  0.7500  0.6690  7 Rh 2.80-2.85, 1 Os 2.81
Hf  0.8348  0.2500  0.6690  7 Rh 2.80-2.85, 1 Os 2.81
Hf  0.5000  0.2479  0.0000  2 Os 2.82, 6 Rh 2.83-2.86
Hf  0.5000  0.7521  0.0000  2 Os 2.82, 6 Rh 2.83-2.86
Hf  0.1652  0.7500  0.3310  7 Rh 2.80-2.85, 1 Os 2.81
Hf  0.1652  0.2500  0.3310  7 Rh 2.80-2.85, 1 Os 2.81
Rh  0.6654  0.5000  0.3324  8 Hf 2.83-2.85
Rh  0.3306  0.0000  0.6594  8 Hf 2.80-2.86
Rh  0.0000  0.5000  0.0000  8 Hf 2.81-2.84
Rh  0.6694  0.0000  0.3406  8 Hf 2.80-2.86
Rh  0.3346  0.5000  0.6676  8 Hf 2.83-2.85

DFT formation energy in eV/atom: -0.85

No. 2
Here is a relaxed structure of Hf3Os2Rh from Alexandria. Energies are from PBE.

Lattice parameters (Å, degrees): 3.2592 3.2592 9.7687 90.00 90.00 90.00
Closest atoms and distances in Å follow each position.
Atoms (fractional coordinates):
Hf  0.0000  0.0000  0.0000  8 Os 2.83
Hf  0.0000  0.0000  0.6671  4 Os 2.81, 4 Rh 2.82
Hf  0.0000  0.0000  0.3329  4 Os 2.81, 4 Rh 2.82
Os  0.5000  0.5000  0.8320  8 Hf 2.81-2.83
Os  0.5000  0.5000  0.1680  8 Hf 2.81-2.83
Rh  0.5000  0.5000  0.5000  8 Hf 2.82

DFT formation energy in eV/atom: -0.76

No. 3
Here is a relaxed structure of Hf8OsRh2 from Alexandria. Energies are from PBE.

Lattice parameters (Å, degrees): 4.6705 6.1747 8.1981 99.38 106.55 90.00
Closest atoms and distances in Å follow each position.
Atoms (fractional coordinates):
Hf  0.4121  0.5586  0.8241  1 Os 2.84, 5 Hf 2.97-3.10
Hf  0.6659  0.9570  0.3318  3 Rh 2.57-2.84, 1 Os 2.67
Hf  0.8095  0.6853  0.6190  1 Rh 2.54
Hf  0.9696  0.2482  0.9392  1 Rh 2.75, 2 Os 2.88
Hf  0.1905  0.3147  0.3810  1 Rh 2.54
Hf  0.3341  0.0430  0.6682  3 Rh 2.57-2.84, 1 Os 2.67
Hf  0.5879  0.4414  0.1759  1 Os 2.84, 5 Hf 2.97-3.10
Hf  0.0304  0.7518  0.0608  1 Rh 2.75, 2 Os 2.88
Os  0.5000  0.0000  0.0000  8 Hf 2.67-2.88
Rh  0.7962  0.2699  0.5924  5 Hf 2.54-2.84
Rh  0.2038  0.7301  0.4076  5 Hf 2.54-2.84

DFT formation energy in eV/atom: -0.40

No. 4
Here is a relaxed structure of Hf6OsRh2 from Alexandria. Energies are from PBE.

Lattice parameters (Å, degrees): 5.5578 7.0518 9.1957 90.00 88.95 90.00
Closest atoms and distances in Å follow each position.
Atoms (fractional coordinates):
Hf  0.8271  0.9357  0.2432  1 Os 2.61, 2 Rh 2.74-2.89
Hf  0.8381  0.6479  0.5450  1 Os 2.67, 2 Rh 2.71-2.76, 2 Hf 2.87-2.99
Hf  0.8636  0.7211  0.9357  1 Os 2.61, 2 Rh 2.68-2.72
Hf  0.6364  0.2211  0.5643  1 Os 2.61, 2 Rh 2.68-2.72
Hf  0.6619  0.1479  0.9550  1 Os 2.67, 2 Rh 2.71-2.76, 2 Hf 2.87-2.99
Hf  0.6729  0.4357  0.2568  1 Os 2.61, 2 Rh 2.74-2.89
Hf  0.1729  0.0643  0.7568  1 Os 2.61, 2 Rh 2.74-2.89
Hf  0.1619  0.3521  0.4550  1 Os 2.67, 2 Rh 2.71-2.76, 2 Hf 2.87-2.99
Hf  0.1364  0.2789  0.0643  1 Os 2.61, 2 Rh 2.68-2.72
Hf  0.3636  0.7789  0.4357  1 Os 2.61, 2 Rh 2.68-2.72
Hf  0.3381  0.8521  0.0450  1 Os 2.67, 2 Rh 2.71-2.76, 2 Hf 2.87-2.99
Hf  0.3271  0.5643  0.7432  1 Os 2.61, 2 Rh 2.74-2.89
Os  0.5000  0.5000  0.0000  6 Hf 2.61-2.67
Os  0.0000  0.0000  0.5000  6 Hf 2.61-2.67
Rh  0.8818  0.4030  0.7766  6 Hf 2.68-2.89
Rh  0.6182  0.9030  0.7234  6 Hf 2.68-2.89
Rh  0.3818  0.0970  0.2766  6 Hf 2.68-2.89
Rh  0.1182  0.5970  0.2234  6 Hf 2.68-2.89

DFT formation energy in eV/atom: -0.39